# NdDy3Al2 | the Alexandria database | GGA-PBE | optimized geometry
data_NdDy3Al2
_chemical_formula_sum 'Nd4 Dy12 Al8'
_cell_length_a 15.953
_cell_length_b 5.234
_cell_length_c 8.997
_cell_angle_alpha 90.00
_cell_angle_beta 118.99
_cell_angle_gamma 90.00
_symmetry_space_group_name_H-M 'C 1 2/m 1'
_symmetry_Int_Tables_number 12
loop_
_symmetry_equiv_pos_as_xyz
'x,y,z'
'-x,-y,-z'
'-x,y,-z'
'x,-y,z'
'x+1/2,y+1/2,z'
'-x+1/2,-y+1/2,-z'
'-x+1/2,y+1/2,-z'
'x+1/2,-y+1/2,z'
loop_
_atom_site_label
_atom_site_type_symbol
_atom_site_fract_x
_atom_site_fract_y
_atom_site_fract_z
_atom_site_occupancy
Nd1 Nd 0.131 0.000 0.183 1
Dy1 Dy 0.062 0.000 0.715 1
Dy2 Dy 0.117 0.500 0.531 1
Dy3 Dy 0.187 0.500 0.993 1
Al1 Al 0.021 0.500 0.157 1
Al2 Al 0.231 0.000 0.600 1
# ΔE_f, meV per atom: -185
# Excess energy over the best structure of this formula in the dataset, meV/atom: 70